LaAgPbSe3: relaxed, PBE.

- crystal system = orthorhombic
- E above lowest polymorph (meV/atom) = 15.1

a = 13.854 Å, b = 4.255 Å, c = 11.404 Å
α = 90.00°, β = 90.00°, γ = 90.00°
Positions (direct):
La1 0.016 0.250 0.175
La2 0.484 0.750 0.675
La3 0.516 0.250 0.325
La4 0.984 0.750 0.825
Ag1 0.005 0.750 0.414
Ag2 0.495 0.250 0.914
Ag3 0.505 0.750 0.086
Ag4 0.995 0.250 0.586
Pb1 0.224 0.250 0.456
Pb2 0.276 0.750 0.956
Pb3 0.724 0.250 0.044
Pb4 0.776 0.750 0.544
Se1 0.111 0.250 0.936
Se2 0.119 0.750 0.619
Se3 0.151 0.750 0.260
Se4 0.349 0.250 0.760
Se5 0.381 0.250 0.119
Se6 0.389 0.750 0.436
Se7 0.611 0.250 0.564
Se8 0.619 0.750 0.881
Se9 0.651 0.750 0.240
Se10 0.849 0.250 0.740
Se11 0.881 0.250 0.381
Se12 0.889 0.750 0.064

LaAgTe2PbSe: relaxed, PBE.

- crystal system = orthorhombic
- total DFT energy (no corrections) (eV per cell) = -52.860

a = 7.693 Å, b = 7.693 Å, c = 11.107 Å
α = 90.00°, β = 90.00°, γ = 146.54°
Positions (direct):
La1 0.000 0.000 0.000
La2 0.000 0.000 0.500
Ag1 0.476 0.524 0.750
Ag2 0.524 0.476 0.250
Te1 0.347 0.653 0.564
Te2 0.347 0.653 0.936
Te3 0.653 0.347 0.064
Te4 0.653 0.347 0.436
Pb1 0.255 0.745 0.250
Pb2 0.745 0.255 0.750
Se1 0.084 0.916 0.750
Se2 0.916 0.084 0.250

LaAgTePbSe2: relaxed, PBE.

- crystal system = orthorhombic
- total DFT energy (no corrections) (eV per cell) = -54.566

a = 7.450 Å, b = 7.450 Å, c = 11.659 Å
α = 90.00°, β = 90.00°, γ = 146.47°
Positions (direct):
La1 0.000 0.000 0.000
La2 0.000 0.000 0.500
Ag1 0.476 0.524 0.750
Ag2 0.524 0.476 0.250
Te1 0.106 0.894 0.750
Te2 0.894 0.106 0.250
Pb1 0.217 0.783 0.250
Pb2 0.783 0.217 0.750
Se1 0.362 0.638 0.570
Se2 0.362 0.638 0.930
Se3 0.638 0.362 0.070
Se4 0.638 0.362 0.430

La2SiAg2Pb: relaxed, PBE.

- crystal system = trigonal
- total DFT energy (no corrections) (eV per cell) = -27.603

a = 4.735 Å, b = 4.735 Å, c = 7.872 Å
α = 90.00°, β = 90.00°, γ = 120.00°
Positions (direct):
La1 0.000 0.000 0.000
La2 0.000 0.000 0.477
Si1 0.333 0.667 0.276
Ag1 0.333 0.667 0.684
Ag2 0.667 0.333 0.219
Pb1 0.667 0.333 0.774

no.,magnetic moment (Bohr magnetons per cell)
1,0.0
2,0.0
3,0.0
4,0.0